Entry 1:
This record from Alexandria via LeMat-Bulk describes an optimized crystal structure of Hf2NpH. The functional is PBE-GGA.

density = 14.27 Mg/m³
VASP energy = -8.81 eV/atom
DOS at the Fermi energy = 7.2 states/eV/f.u.

Cell and atoms, written as CIF:
```
data_Hf2NpH
_cell_length_a 3.033
_cell_length_b 3.033
_cell_length_c 26.076
_cell_angle_alpha 90.00
_cell_angle_beta 90.00
_cell_angle_gamma 120.00
_space_group_name_H-M_alt 'P 1'
_space_group_IT_number 1
_space_group_name_Hall 'P 1'
loop_
_atom_site_label
_atom_site_type_symbol
_atom_site_fract_x
_atom_site_fract_y
_atom_site_fract_z
_atom_site_occupancy
Hf1 Hf 0.000 0.000 0.115 1
Hf2 Hf 0.000 0.000 0.885 1
Hf3 Hf 0.333 0.667 0.552 1
Hf4 Hf 0.333 0.667 0.781 1
Hf5 Hf 0.667 0.333 0.219 1
Hf6 Hf 0.667 0.333 0.448 1
Np1 Np 0.000 0.000 0.000 1
Np2 Np 0.333 0.667 0.667 1
Np3 Np 0.667 0.333 0.333 1
H1 H 0.000 0.000 0.500 1
H2 H 0.333 0.667 0.167 1
H3 H 0.667 0.333 0.833 1
```

---

Entry 2:
This record from Alexandria via LeMat-Bulk describes an optimized crystal structure of HfH3O. The functional is PBE-GGA.

density = 6.55 Mg/m³
VASP energy = -4.79 eV/atom
DOS at the Fermi energy = 1.6 states/eV/f.u.

Cell and atoms, written as CIF:
```
data_HfH3O
_cell_length_a 3.686
_cell_length_b 3.686
_cell_length_c 3.686
_cell_angle_alpha 90.00
_cell_angle_beta 90.00
_cell_angle_gamma 90.00
_space_group_name_H-M_alt 'P 1'
_space_group_IT_number 1
_space_group_name_Hall 'P 1'
loop_
_atom_site_label
_atom_site_type_symbol
_atom_site_fract_x
_atom_site_fract_y
_atom_site_fract_z
_atom_site_occupancy
Hf1 Hf 0.000 0.000 0.000 1
H1 H 0.000 0.000 0.500 1
H2 H 0.000 0.500 0.000 1
H3 H 0.500 0.000 0.000 1
O1 O 0.500 0.500 0.500 1
```

---

Entry 3:
This record from Alexandria via LeMat-Bulk describes an optimized crystal structure of HfH2O. The functional is PBE-GGA.

density = 9.18 Mg/m³
VASP energy = -6.39 eV/atom
DOS at the Fermi energy = 0.9 states/eV/f.u.

Cell and atoms, written as CIF:
```
data_HfH2O
_cell_length_a 3.120
_cell_length_b 3.120
_cell_length_c 14.610
_cell_angle_alpha 90.00
_cell_angle_beta 90.00
_cell_angle_gamma 90.00
_space_group_name_H-M_alt 'P 1'
_space_group_IT_number 1
_space_group_name_Hall 'P 1'
loop_
_atom_site_label
_atom_site_type_symbol
_atom_site_fract_x
_atom_site_fract_y
_atom_site_fract_z
_atom_site_occupancy
Hf1 Hf 0.000 0.000 0.000 1
Hf2 Hf 0.000 0.500 0.250 1
Hf3 Hf 0.500 0.000 0.750 1
Hf4 Hf 0.500 0.500 0.500 1
H1 H 0.047 0.250 0.125 1
H2 H 0.250 0.547 0.375 1
H3 H 0.250 0.953 0.875 1
H4 H 0.453 0.250 0.625 1
H5 H 0.547 0.750 0.625 1
H6 H 0.750 0.047 0.875 1
H7 H 0.750 0.453 0.375 1
H8 H 0.953 0.750 0.125 1
O1 O 0.000 0.000 0.500 1
O2 O 0.000 0.500 0.750 1
O3 O 0.500 0.000 0.250 1
O4 O 0.500 0.500 0.000 1
```

---

Entry 4:
This record from Alexandria via LeMat-Bulk describes an optimized crystal structure of HfH2O. The functional is PBE-GGA.

density = 11.07 Mg/m³
VASP energy = -6.23 eV/atom
DOS at the Fermi energy = 0.4 states/eV/f.u.

Cell and atoms, written as CIF:
```
data_HfH2O
_cell_length_a 4.903
_cell_length_b 4.903
_cell_length_c 4.903
_cell_angle_alpha 90.00
_cell_angle_beta 90.00
_cell_angle_gamma 90.00
_space_group_name_H-M_alt 'P 1'
_space_group_IT_number 1
_space_group_name_Hall 'P 1'
loop_
_atom_site_label
_atom_site_type_symbol
_atom_site_fract_x
_atom_site_fract_y
_atom_site_fract_z
_atom_site_occupancy
Hf1 Hf 0.000 0.000 0.000 1
Hf2 Hf 0.000 0.500 0.500 1
Hf3 Hf 0.500 0.000 0.500 1
Hf4 Hf 0.500 0.500 0.000 1
H1 H 0.250 0.250 0.250 1
H2 H 0.250 0.250 0.750 1
H3 H 0.250 0.750 0.250 1
H4 H 0.250 0.750 0.750 1
H5 H 0.750 0.250 0.250 1
H6 H 0.750 0.250 0.750 1
H7 H 0.750 0.750 0.250 1
H8 H 0.750 0.750 0.750 1
O1 O 0.000 0.000 0.500 1
O2 O 0.000 0.500 0.000 1
O3 O 0.500 0.000 0.000 1
O4 O 0.500 0.500 0.500 1
```

---

Entry 5:
This record from Alexandria via LeMat-Bulk describes an optimized crystal structure of HfHO. The functional is PBE-GGA.

density = 10.51 Mg/m³
VASP energy = -7.79 eV/atom
DOS at the Fermi energy = 2.0 states/eV/f.u.

Cell and atoms, written as CIF:
```
data_HfHO
_cell_length_a 4.980
_cell_length_b 4.980
_cell_length_c 4.980
_cell_angle_alpha 90.00
_cell_angle_beta 90.00
_cell_angle_gamma 90.00
_space_group_name_H-M_alt 'P 1'
_space_group_IT_number 1
_space_group_name_Hall 'P 1'
loop_
_atom_site_label
_atom_site_type_symbol
_atom_site_fract_x
_atom_site_fract_y
_atom_site_fract_z
_atom_site_occupancy
Hf1 Hf 0.000 0.000 0.000 1
Hf2 Hf 0.000 0.500 0.500 1
Hf3 Hf 0.500 0.000 0.500 1
Hf4 Hf 0.500 0.500 0.000 1
H1 H 0.250 0.250 0.250 1
H2 H 0.250 0.750 0.750 1
H3 H 0.750 0.250 0.750 1
H4 H 0.750 0.750 0.250 1
O1 O 0.250 0.250 0.750 1
O2 O 0.250 0.750 0.250 1
O3 O 0.750 0.250 0.250 1
O4 O 0.750 0.750 0.750 1
```

---

Entry 6:
This record from Alexandria via LeMat-Bulk describes an optimized crystal structure of HfHO. The functional is PBE-GGA.

density = 9.10 Mg/m³
VASP energy = -7.72 eV/atom
DOS at the Fermi energy = 0.9 states/eV/f.u.

Cell and atoms, written as CIF:
```
data_HfHO
_cell_length_a 3.357
_cell_length_b 11.157
_cell_length_c 3.809
_cell_angle_alpha 90.00
_cell_angle_beta 90.00
_cell_angle_gamma 90.00
_space_group_name_H-M_alt 'P 1'
_space_group_IT_number 1
_space_group_name_Hall 'P 1'
loop_
_atom_site_label
_atom_site_type_symbol
_atom_site_fract_x
_atom_site_fract_y
_atom_site_fract_z
_atom_site_occupancy
Hf1 Hf 0.000 0.142 0.250 1
Hf2 Hf 0.000 0.858 0.750 1
Hf3 Hf 0.500 0.358 0.750 1
Hf4 Hf 0.500 0.642 0.250 1
H1 H 0.000 0.444 0.750 1
H2 H 0.000 0.556 0.250 1
H3 H 0.500 0.056 0.250 1
H4 H 0.500 0.944 0.750 1
O1 O 0.000 0.214 0.750 1
O2 O 0.000 0.786 0.250 1
O3 O 0.500 0.286 0.250 1
O4 O 0.500 0.714 0.750 1
```

---

Entry 7:
This record from Alexandria via LeMat-Bulk describes an optimized crystal structure of Hf4HO. The functional is PBE-GGA.

density = 12.80 Mg/m³
VASP energy = -9.01 eV/atom
DOS at the Fermi energy = 4.1 states/eV/f.u.

Cell and atoms, written as CIF:
```
data_Hf4HO
_cell_length_a 6.276
_cell_length_b 6.276
_cell_length_c 6.276
_cell_angle_alpha 107.65
_cell_angle_beta 107.65
_cell_angle_gamma 113.17
_space_group_name_H-M_alt 'P 1'
_space_group_IT_number 1
_space_group_name_Hall 'P 1'
loop_
_atom_site_label
_atom_site_type_symbol
_atom_site_fract_x
_atom_site_fract_y
_atom_site_fract_z
_atom_site_occupancy
Hf1 Hf 0.212 0.000 0.212 1
Hf2 Hf 0.293 0.025 0.732 1
Hf3 Hf 0.293 0.561 0.268 1
Hf4 Hf 0.311 0.543 0.768 1
Hf5 Hf 0.750 0.038 0.288 1
Hf6 Hf 0.750 0.462 0.712 1
Hf7 Hf 0.775 0.543 0.232 1
Hf8 Hf 0.788 0.000 0.788 1
H1 H 0.181 0.181 0.000 1
H2 H 0.931 0.431 0.500 1
O1 O 0.524 0.024 0.500 1
O2 O 0.774 0.774 0.000 1
```

---

Entry 8:
This record from Alexandria via LeMat-Bulk describes an optimized crystal structure of HfHO. The functional is PBE-GGA.

density = 10.34 Mg/m³
VASP energy = -7.77 eV/atom
DOS at the Fermi energy = 0.5 states/eV/f.u.

Cell and atoms, written as CIF:
```
data_HfHO
_cell_length_a 7.402
_cell_length_b 7.402
_cell_length_c 6.223
_cell_angle_alpha 114.82
_cell_angle_beta 114.82
_cell_angle_gamma 24.07
_space_group_name_H-M_alt 'P 1'
_space_group_IT_number 1
_space_group_name_Hall 'P 1'
loop_
_atom_site_label
_atom_site_type_symbol
_atom_site_fract_x
_atom_site_fract_y
_atom_site_fract_z
_atom_site_occupancy
Hf1 Hf 0.111 0.111 0.238 1
Hf2 Hf 0.168 0.168 0.778 1
Hf3 Hf 0.832 0.832 0.222 1
Hf4 Hf 0.889 0.889 0.762 1
H1 H 0.231 0.231 0.122 1
H2 H 0.268 0.268 0.630 1
H3 H 0.732 0.732 0.370 1
H4 H 0.769 0.769 0.878 1
O1 O 0.044 0.044 0.867 1
O2 O 0.392 0.392 0.493 1
O3 O 0.608 0.608 0.507 1
O4 O 0.956 0.956 0.133 1
```